Compound: MgAuCl2
Source: Alexandria via LeMat-Bulk
Functional: SCAN
Structure: PBEsol geometry

The structure belongs to space group Fmmm (No. 69); the cell edges are 6.3156, 7.4205 and 7.4546 Å and the angles 90.00°, 90.00° and 90.00°. The distinct sites, in fractional coordinates, are Mg at (0.0000, 0.0000, 0.0000), Au at (0.0000, 0.0000, 0.5000) and Cl at (0.0000, 0.2500, 0.2500).

The calculation puts the total magnetic moment at 0.00 μB/atom. Its offset from the most stable computed form is 256 meV/atom. The formation energy (no corrections) comes out at -570 meV/atom.